No. 1
TiBiAsSe2: relaxed, GGA-PBE.

CIF file:
```
data_TiBiAsSe2
_space_group_name_H-M_alt 'P 4/m m m'
_space_group_IT_number 123
_space_group_name_Hall '-P 4 2'
_cell_length_a 4.8955
_cell_length_b 4.8955
_cell_length_c 5.1294
_cell_angle_alpha 90.00
_cell_angle_beta 90.00
_cell_angle_gamma 90.00
loop_
_atom_site_label
_atom_site_fract_x
_atom_site_fract_y
_atom_site_fract_z
Ti1 0.0000 0.0000 0.0000
Bi1 0.5000 0.5000 0.5000
As1 0.0000 0.0000 0.5000
Se1 0.0000 0.5000 0.0000
```

Values from the calculation:
Its relative energy among the computed polymorphs is 0.0 meV per atom. As for the uncorrected formation energy: -79 kJ/mol of formula units. For the density of states at the Fermi level, the calculation gives 4.5 states/eV/f.u. The calculation puts the density at 6.61 g/cm3.

---

No. 2
TiBi2AsSe: relaxed, GGA-PBE.

CIF file:
```
data_TiBi2AsSe
_space_group_name_H-M_alt 'P 4/m m m'
_space_group_IT_number 123
_space_group_name_Hall '-P 4 2'
_cell_length_a 5.4521
_cell_length_b 5.4521
_cell_length_c 4.7276
_cell_angle_alpha 90.00
_cell_angle_beta 90.00
_cell_angle_gamma 90.00
loop_
_atom_site_label
_atom_site_fract_x
_atom_site_fract_y
_atom_site_fract_z
Ti1 0.0000 0.0000 0.0000
Bi1 0.0000 0.5000 0.0000
As1 0.0000 0.0000 0.5000
Se1 0.5000 0.5000 0.5000
```

Values from the calculation:
As for the uncorrected formation energy: 86 kJ/mol of formula units. For the density of states at the Fermi level, the calculation gives 4.9 states/eV/f.u. The calculation puts the density at 7.32 g/cm3.

---

No. 3
TiBiAs2Se: relaxed, GGA-PBE.

CIF file:
```
data_TiBiAs2Se
_space_group_name_H-M_alt 'P 4/m m m'
_space_group_IT_number 123
_space_group_name_Hall '-P 4 2'
_cell_length_a 5.0213
_cell_length_b 5.0213
_cell_length_c 4.8339
_cell_angle_alpha 90.00
_cell_angle_beta 90.00
_cell_angle_gamma 90.00
loop_
_atom_site_label
_atom_site_fract_x
_atom_site_fract_y
_atom_site_fract_z
Ti1 0.0000 0.0000 0.0000
Bi1 0.5000 0.5000 0.5000
As1 0.0000 0.5000 0.0000
Se1 0.0000 0.0000 0.5000
```

Values from the calculation:
Its relative energy among the computed polymorphs is 0.0 meV per atom. As for the uncorrected formation energy: -6 kJ/mol of formula units. For the density of states at the Fermi level, the calculation gives 3.7 states/eV/f.u. The calculation puts the density at 6.62 g/cm3.

---

No. 4
Tl2BiAsSe4: relaxed, GGA-PBE.

CIF file:
```
data_Tl2BiAsSe4
_space_group_name_H-M_alt 'I m m a'
_space_group_IT_number 74
_space_group_name_Hall '-I 2b 2'
_cell_length_a 8.4763
_cell_length_b 8.7527
_cell_length_c 12.1856
_cell_angle_alpha 90.00
_cell_angle_beta 90.00
_cell_angle_gamma 90.00
loop_
_atom_site_label
_atom_site_fract_x
_atom_site_fract_y
_atom_site_fract_z
Tl1 0.0000 0.0000 0.0000
Tl2 0.2500 0.2500 0.2500
Bi1 0.0000 0.0000 0.5000
As1 0.2500 0.2500 0.7500
Se1 0.0000 0.0382 0.7432
Se2 0.2362 0.2500 0.5199
```

Values from the calculation:
As for the uncorrected formation energy: -235 kJ/mol of formula units. For the density of states at the Fermi level, the calculation gives 1.1 states/eV/f.u. The calculation puts the density at 7.41 g/cm3.

---

No. 5
TlBiAs2Se: relaxed, GGA-PBE.

CIF file:
```
data_TlBiAs2Se
_space_group_name_H-M_alt 'P 4/m m m'
_space_group_IT_number 123
_space_group_name_Hall '-P 4 2'
_cell_length_a 5.5269
_cell_length_b 5.5269
_cell_length_c 5.6843
_cell_angle_alpha 90.00
_cell_angle_beta 90.00
_cell_angle_gamma 90.00
loop_
_atom_site_label
_atom_site_fract_x
_atom_site_fract_y
_atom_site_fract_z
Tl1 0.0000 0.0000 0.0000
Bi1 0.5000 0.5000 0.5000
As1 0.0000 0.5000 0.5000
Se1 0.5000 0.5000 0.0000
```

Values from the calculation:
Its relative energy among the computed polymorphs is 0.0 meV per atom. As for the uncorrected formation energy: 286 kJ/mol of formula units. For the density of states at the Fermi level, the calculation gives 4.9 states/eV/f.u. The calculation puts the density at 6.14 g/cm3.

---

No. 6
Tm4BiAs2Se: relaxed, GGA-PBE.

CIF file:
```
data_Tm4BiAs2Se
_space_group_name_H-M_alt 'P 1 2/m 1'
_space_group_IT_number 10
_cell_length_a 7.1651
_cell_length_b 4.1346
_cell_length_c 7.2260
_cell_angle_alpha 90.00
_cell_angle_beta 109.18
_cell_angle_gamma 90.00
loop_
_space_group_symop_operation_xyz
'x,y,z'
'-x,-y,-z'
'-x,y,-z'
'x,-y,z'
loop_
_atom_site_label
_atom_site_fract_x
_atom_site_fract_y
_atom_site_fract_z
Tm1 0.2375 0.0000 0.2293
Tm2 0.2513 0.5000 0.7674
Bi1 0.5000 0.5000 0.5000
As1 0.0000 0.5000 0.0000
As2 0.5000 0.0000 0.0000
Se1 0.0000 0.0000 0.5000
```

Values from the calculation:
As for the uncorrected formation energy: -1065 kJ/mol of formula units. For the density of states at the Fermi level, the calculation gives 1.5 states/eV/f.u. The calculation puts the density at 9.15 g/cm3.

---

No. 7
Tm6BiAs3Se2: relaxed, GGA-PBE.

CIF file:
```
data_Tm6BiAs3Se2
_space_group_name_H-M_alt 'C 1 2/m 1'
_space_group_IT_number 12
_cell_length_a 17.9606
_cell_length_b 4.1075
_cell_length_c 8.2643
_cell_angle_alpha 90.00
_cell_angle_beta 103.76
_cell_angle_gamma 90.00
loop_
_space_group_symop_operation_xyz
'x,y,z'
'-x,-y,-z'
'-x,y,-z'
'x,-y,z'
'x+1/2,y+1/2,z'
'-x+1/2,-y+1/2,-z'
'-x+1/2,y+1/2,-z'
'x+1/2,-y+1/2,z'
loop_
_atom_site_label
_atom_site_fract_x
_atom_site_fract_y
_atom_site_fract_z
Tm1 0.0017 0.0000 0.2326
Tm2 0.1644 0.5000 0.0907
Tm3 0.1737 0.5000 0.5775
Bi1 0.0000 0.5000 0.5000
As1 0.0000 0.5000 0.0000
As2 0.1659 0.0000 0.3307
Se1 0.1688 0.0000 0.8365
```

Values from the calculation:
As for the uncorrected formation energy: -1697 kJ/mol of formula units. For the density of states at the Fermi level, the calculation gives 3.9 states/eV/f.u. The calculation puts the density at 9.00 g/cm3.

---

No. 8
Tm4BiAsSe2: relaxed, GGA-PBE.

CIF file:
```
data_Tm4BiAsSe2
_space_group_name_H-M_alt 'P 1 2/m 1'
_space_group_IT_number 10
_cell_length_a 7.1143
_cell_length_b 4.1388
_cell_length_c 7.2433
_cell_angle_alpha 90.00
_cell_angle_beta 109.58
_cell_angle_gamma 90.00
loop_
_space_group_symop_operation_xyz
'x,y,z'
'-x,-y,-z'
'-x,y,-z'
'x,-y,z'
loop_
_atom_site_label
_atom_site_fract_x
_atom_site_fract_y
_atom_site_fract_z
Tm1 0.2406 0.0000 0.2276
Tm2 0.2535 0.5000 0.7670
Bi1 0.5000 0.5000 0.5000
As1 0.5000 0.0000 0.0000
Se1 0.0000 0.0000 0.5000
Se2 0.0000 0.5000 0.0000
```

Values from the calculation:
As for the uncorrected formation energy: -1079 kJ/mol of formula units. For the density of states at the Fermi level, the calculation gives 3.2 states/eV/f.u. The calculation puts the density at 9.24 g/cm3.

---

What did the sixth record say?
Tm4BiAs2Se: relaxed, GGA-PBE.

CIF file:
```
data_Tm4BiAs2Se
_space_group_name_H-M_alt 'P 1 2/m 1'
_space_group_IT_number 10
_cell_length_a 7.1651
_cell_length_b 4.1346
_cell_length_c 7.2260
_cell_angle_alpha 90.00
_cell_angle_beta 109.18
_cell_angle_gamma 90.00
loop_
_space_group_symop_operation_xyz
'x,y,z'
'-x,-y,-z'
'-x,y,-z'
'x,-y,z'
loop_
_atom_site_label
_atom_site_fract_x
_atom_site_fract_y
_atom_site_fract_z
Tm1 0.2375 0.0000 0.2293
Tm2 0.2513 0.5000 0.7674
Bi1 0.5000 0.5000 0.5000
As1 0.0000 0.5000 0.0000
As2 0.5000 0.0000 0.0000
Se1 0.0000 0.0000 0.5000
```

Values from the calculation:
As for the uncorrected formation energy: -1065 kJ/mol of formula units. For the density of states at the Fermi level, the calculation gives 1.5 states/eV/f.u. The calculation puts the density at 9.15 g/cm3.

---

- Number 3 is which compound?
  TiBiAs2Se